[1]
DFT (PBE) results for a geometry-optimized HAuO3 structure.

Calculated values
D(E_F): 6.6 states/eV per cell

Unit cell a=3.4393 b=3.4393 c=3.4393 alpha=90.00 beta=90.00 gamma=90.00
Closest atoms and distances in Å follow each position.
Element x y z (fractional)
H: 0.0000 0.0000 0.0000  6 O 1.72
Au: 0.5000 0.5000 0.5000  12 O 2.43
O: 0.0000 0.0000 0.5000  2 H 1.72
O: 0.0000 0.5000 0.0000  2 H 1.72
O: 0.5000 0.0000 0.0000  2 H 1.72

=====

[2]
DFT (PBE) results for a geometry-optimized HAu2O structure.

Calculated values
D(E_F): 11.9 states/eV per cell

Unit cell a=4.7612 b=4.7612 c=9.4893 alpha=90.00 beta=90.00 gamma=90.00
Closest atoms and distances in Å follow each position.
Element x y z (fractional)
H: 0.0000 0.0000 0.0000  4 Au 1.90
H: 0.0000 0.5000 0.2500  4 Au 1.90
H: 0.5000 0.0000 0.7500  4 Au 1.90
H: 0.5000 0.5000 0.5000  4 Au 1.90
Au: 0.1852 0.2500 0.1250  2 H 1.90
Au: 0.2500 0.6852 0.3750  2 H 1.90
Au: 0.2500 0.8148 0.8750  2 H 1.90
Au: 0.3148 0.2500 0.6250  2 H 1.90
Au: 0.6852 0.7500 0.6250  2 H 1.90
Au: 0.7500 0.1852 0.8750  2 H 1.90
Au: 0.7500 0.3148 0.3750  2 H 1.90
Au: 0.8148 0.7500 0.1250  2 H 1.90
O: 0.0000 0.0000 0.5000  4 Au 2.25
O: 0.0000 0.5000 0.7500  4 Au 2.25
O: 0.5000 0.0000 0.2500  4 Au 2.25
O: 0.5000 0.5000 0.0000  4 Au 2.25

=====

[3]
DFT (PBE) results for a geometry-optimized H2AuO structure.

Calculated values
D(E_F): 0.1 states/eV per cell

Unit cell a=4.5507 b=4.5507 c=4.5507 alpha=60.00 beta=60.00 gamma=60.00
Closest atoms and distances in Å follow each position.
Element x y z (fractional)
H: 0.0000 0.0000 0.0000  2 O 1.39
H: 0.0000 0.0000 0.5000  2 O 1.39
H: 0.0000 0.5000 0.0000  2 O 1.39
H: 0.5000 0.0000 0.0000  2 O 1.39
Au: 0.3750 0.3750 0.3750  12 H 2.67, 4 O 2.79, 4 Au 2.79
Au: 0.6250 0.6250 0.6250  12 H 2.67, 4 O 2.79, 4 Au 2.79
O: 0.1250 0.1250 0.1250  4 H 1.39
O: 0.8750 0.8750 0.8750  4 H 1.39

=====

[4]
DFT (PBE) results for a geometry-optimized PaH2Au2O7 structure.

Calculated values
D(E_F): 5.9 states/eV per cell

Unit cell a=7.1053 b=7.1053 c=7.1053 alpha=53.94 beta=53.94 gamma=53.94
Closest atoms and distances in Å follow each position.
Element x y z (fractional)
Pa: 0.0000 0.0000 0.0000  6 O 2.14
H: 0.4481 0.4481 0.4481  1 O 0.94
H: 0.5519 0.5519 0.5519  1 O 0.94
Au: 0.2626 0.2626 0.2626  3 O 1.96
Au: 0.7374 0.7374 0.7374  3 O 1.96
O: 0.0908 0.0908 0.6181  1 Au 1.96, 1 Pa 2.14
O: 0.0908 0.6181 0.0908  1 Au 1.96, 1 Pa 2.14
O: 0.3819 0.9092 0.9092  1 Au 1.96, 1 Pa 2.14
O: 0.5000 0.5000 0.5000  2 H 0.94
O: 0.6181 0.0908 0.0908  1 Au 1.96, 1 Pa 2.14
O: 0.9092 0.3819 0.9092  1 Au 1.96, 1 Pa 2.14
O: 0.9092 0.9092 0.3819  1 Au 1.96, 1 Pa 2.14

=====

[5]
DFT (PBE) results for a geometry-optimized PmH2AuO4 structure.

Unit cell a=5.0253 b=5.6009 c=6.3254 alpha=90.00 beta=90.00 gamma=90.00
Closest atoms and distances in Å follow each position.
Element x y z (fractional)
Pm: 0.0000 0.0000 0.0000  4 O 2.39
Pm: 0.5000 0.5000 0.5000  4 O 2.39
H: 0.0000 0.5000 0.2075  2 O 1.20
H: 0.0000 0.5000 0.7925  2 O 1.20
H: 0.5000 0.0000 0.2925  2 O 1.20
H: 0.5000 0.0000 0.7075  2 O 1.20
Au: 0.0000 0.0000 0.5000  4 O 2.07
Au: 0.5000 0.5000 0.0000  4 O 2.07
O: 0.2107 0.3978 0.7853  1 H 1.20
O: 0.2107 0.6022 0.2147  1 H 1.20
O: 0.2893 0.1022 0.2853  1 H 1.20
O: 0.2893 0.8978 0.7147  1 H 1.20
O: 0.7107 0.1022 0.7147  1 H 1.20
O: 0.7107 0.8978 0.2853  1 H 1.20
O: 0.7893 0.3978 0.2147  1 H 1.20
O: 0.7893 0.6022 0.7853  1 H 1.20

=====

[6]
DFT (PBE) results for a geometry-optimized RbH2AuO structure.

Calculated values
D(E_F): 0.0 states/eV per cell

Unit cell a=4.9037 b=5.1785 c=5.4437 alpha=88.58 beta=76.23 gamma=67.99
Closest atoms and distances in Å follow each position.
Element x y z (fractional)
Rb: 0.0000 0.0000 0.0000  2 O 2.91-2.98, 1 H 3.03
H: 0.4445 0.0162 0.3983  1 O 1.00
H: 0.4842 0.7004 0.3779  1 O 1.00
Au: 0.4685 0.3523 0.6370  2 H 2.25-2.27
O: 0.4724 0.8640 0.2734  2 H 1.00

=====

[7]
DFT (PBE) results for a geometry-optimized RbH2AuO structure.

Calculated values
D(E_F): 0.0 states/eV per cell

Unit cell a=4.4899 b=4.8639 c=5.5100 alpha=90.00 beta=92.22 gamma=90.00
Closest atoms and distances in Å follow each position.
Element x y z (fractional)
Rb: 0.0000 0.0000 0.0000  2 O 2.92-2.94
H: 0.5120 0.1615 0.4543  1 O 1.00
H: 0.5120 0.8385 0.4543  1 O 1.00
Au: 0.4869 0.5000 0.7391  2 H 2.28
O: 0.5194 0.0000 0.3424  2 H 1.00

=====

[8]
DFT (PBE) results for a geometry-optimized RbH2AuO structure.

Calculated values
D(E_F): 0.0 states/eV per cell

Unit cell a=4.4529 b=4.6947 c=5.5746 alpha=93.53 beta=91.61 gamma=114.80
Closest atoms and distances in Å follow each position.
Element x y z (fractional)
Rb: 0.0000 0.0000 0.0000  3 O 2.91-3.21, 4 H 2.94-3.25
H: 0.4378 0.5596 0.6706  1 O 0.98
H: 0.6187 0.4072 0.2777  1 Au 1.59
Au: 0.8988 0.4823 0.4856  1 H 1.59
O: 0.2649 0.5847 0.7642  1 H 0.98

=====

[9]
DFT (PBE) results for a geometry-optimized H6AuS2O2 structure.

Calculated values
D(E_F): 3.2 states/eV per cell

Unit cell a=3.6371 b=6.8819 c=7.2609 alpha=67.25 beta=80.29 gamma=77.58
Closest atoms and distances in Å follow each position.
Element x y z (fractional)
H: 0.0130 0.2350 0.1691  1 S 1.37
H: 0.0403 0.3711 0.8089  1 O 0.99
H: 0.1651 0.8277 0.1034  1 O 0.98
H: 0.8349 0.1723 0.8966  1 O 0.98
H: 0.9597 0.6289 0.1911  1 O 0.99
H: 0.9870 0.7650 0.8309  1 S 1.37
Au: 0.5000 0.0000 0.5000  4 S 2.46-2.51
S: 0.0474 0.7389 0.6493  1 H 1.37
S: 0.9526 0.2611 0.3507  1 H 1.37
O: 0.0664 0.2204 0.9004  2 H 0.98-0.99
O: 0.9336 0.7796 0.0996  2 H 0.98-0.99

=====

[10]
DFT (PBE) results for a geometry-optimized Sr2HAuO structure.

Calculated values
D(E_F): 1.6 states/eV per cell

Unit cell a=5.0778 b=5.0778 c=4.5604 alpha=90.00 beta=90.00 gamma=90.00
Closest atoms and distances in Å follow each position.
Element x y z (fractional)
Sr: 0.0000 0.5000 0.0000  2 O 2.54
Sr: 0.5000 0.0000 0.0000  2 O 2.54
H: 0.0000 0.0000 0.5000  8 Sr 3.41, 4 Au 3.59
Au: 0.5000 0.5000 0.5000  2 O 2.28
O: 0.5000 0.5000 0.0000  2 Au 2.28, 4 Sr 2.54

=====

[11]
DFT (PBE) results for a geometry-optimized Ti2HAuO structure.

Calculated values
D(E_F): 3.5 states/eV per cell

Unit cell a=3.9732 b=3.9732 c=4.1460 alpha=90.00 beta=90.00 gamma=90.00
Closest atoms and distances in Å follow each position.
Element x y z (fractional)
Ti: 0.0000 0.5000 0.0000  2 O 1.99
Ti: 0.5000 0.0000 0.0000  2 O 1.99
H: 0.0000 0.0000 0.5000  2 O 2.07
Au: 0.5000 0.5000 0.5000  4 H 2.81, 8 Ti 2.87
O: 0.0000 0.0000 0.0000  4 Ti 1.99, 2 H 2.07

=====

[12]
DFT (PBE) results for a geometry-optimized YHAu2O structure.

Calculated values
D(E_F): 3.4 states/eV per cell

Unit cell a=4.2801 b=4.2801 c=4.8800 alpha=90.00 beta=90.00 gamma=90.00
Closest atoms and distances in Å follow each position.
Element x y z (fractional)
Y: 0.0000 0.0000 0.0000  4 H 3.03, 8 Au 3.25
H: 0.5000 0.5000 0.0000  2 O 2.44
Au: 0.0000 0.5000 0.5000  2 O 2.14
Au: 0.5000 0.0000 0.5000  2 O 2.14
O: 0.5000 0.5000 0.5000  4 Au 2.14

=====

| no. | raw total energy (eV per atom) | V (Å³/f.u.) |
| --- | --- | --- |
| 1 | -3.105 | 40.7 |
| 2 | -3.377 | 53.8 |
| 3 | -3.727 | 33.3 |
| 4 | -5.581 | 217.8 |
| 5 | -5.617 | 89.0 |
| 6 | -3.901 | 124.2 |
| 7 | -3.910 | 120.2 |
| 8 | -3.889 | 105.4 |
| 9 | -4.318 | 162.9 |
| 10 | -3.685 | 117.6 |
| 11 | -6.144 | 65.5 |
| 12 | -4.086 | 89.4 |